## CeC (PBE-GGA)

Data for a relaxed structure of CeC.

Properties
Final energy (eV/atom): -7.654
ΔE_f (eV/atom): -0.075

abc: 3.909 4.792 3.722
angles: 90.00 90.00 90.00
Fractional positions:
Ce  0.250  0.250  0.233
Ce  0.750  0.750  0.767
C  0.250  0.750  0.365
C  0.750  0.250  0.635

## CeC (PBE-GGA)

Data for a relaxed structure of CeC.

Properties
Final energy (eV/atom): -7.543
ΔE_f (eV/atom): 0.036

abc: 5.396 5.396 3.777
angles: 90.00 90.00 142.62
Fractional positions:
Ce  0.125  0.875  0.750
Ce  0.875  0.125  0.250
C  0.356  0.644  0.750
C  0.644  0.356  0.250

## Ce2C2Cl (PBE-GGA)

Data for a relaxed structure of Ce2C2Cl.

Properties
Final energy (eV/atom): -7.324
E_form (uncorrected) (eV per atom): -0.891

abc: 7.470 7.470 6.545
angles: 100.47 100.47 32.21
Fractional positions:
Ce  0.034  0.662  0.854
Ce  0.338  0.966  0.646
Ce  0.662  0.034  0.354
Ce  0.966  0.338  0.146
C  0.150  0.408  0.474
C  0.408  0.150  0.974
C  0.592  0.850  0.026
C  0.850  0.592  0.526
Cl  0.291  0.709  0.250
Cl  0.709  0.291  0.750